# ScTe2PRu, optimized geometry, DFT PBE
data_ScTe2PRu
_chemical_formula_sum 'Sc1 Te2 P1 Ru1'
_cell_length_a 5.437
_cell_length_b 5.437
_cell_length_c 4.292
_cell_angle_alpha 90.00
_cell_angle_beta 90.00
_cell_angle_gamma 90.00
_space_group_name_H-M_alt 'P 4/m m m'
_space_group_IT_number 123
_space_group_name_Hall '-P 4 2'
loop_
_atom_site_label
_atom_site_type_symbol
_atom_site_fract_x
_atom_site_fract_y
_atom_site_fract_z
Sc1 Sc 0.000 0.000 0.000
Te1 Te 0.000 0.500 0.500
P1 P 0.500 0.500 0.000
Ru1 Ru 0.500 0.500 0.500
# **E**: -5.46 eV/atom
# **Energy above the lowest structure with this stoichiometry**: 0.000 eV per atom
# **Formation energy from raw total energies**: -0.10 kcal/mol of atoms
# **Crystal system**: tetragonal